[1]
This record from OQMD via LeMat-Bulk describes a geometry-optimized DySiNO structure. The functional is PBE.

Output
Distance to the lowest polymorph of the same formula   0.12 eV per formula unit
Total energy   -7.47 eV/atom
Volume   14.2 A^3/atom

extended XYZ file:
```
16
Lattice="6.550 0.000 0.000 0.000 7.033 0.000 0.000 0.000 4.935" Properties=species:S:1:pos:R:3 pbc="T T T"
Dy 0.552 1.202 0.000
Dy 2.723 1.202 2.467
Dy 3.826 5.831 0.000
Dy 5.998 5.831 2.467
Si 0.940 4.865 0.007
Si 2.335 4.865 2.474
Si 4.215 2.167 0.007
Si 5.610 2.167 2.474
N 0.408 1.042 2.479
N 2.867 1.042 0.011
N 3.682 5.990 2.479
N 6.142 5.990 0.011
O 0.646 3.296 0.100
O 2.628 3.296 2.568
O 3.921 3.737 0.100
O 5.903 3.737 2.568
```

[2]
This record from OQMD via LeMat-Bulk describes a geometry-optimized RbGaPd structure. The functional is PBE.

Output
Distance to the lowest polymorph of the same formula   1.60 eV per formula unit
Total energy   -2.30 eV/atom
Volume   33.8 A^3/atom

extended XYZ file:
```
3
Lattice="0.000 3.701 3.701 3.701 0.000 3.701 3.701 3.701 0.000" Properties=species:S:1:pos:R:3 pbc="T T T"
Rb 0.000 0.000 0.000
Ga 5.552 5.552 5.552
Pd 1.851 1.851 1.851
```

[3]
This record from OQMD via LeMat-Bulk describes a geometry-optimized Zr2Pt structure. The functional is PBE.

Output
Total energy   -5.95 eV/atom
Volume   66.5 A^3/atom
Formation energy   1.765 eV/atom

extended XYZ file:
```
6
Lattice="0.000 5.842 5.842 5.842 0.000 5.842 5.842 5.842 0.000" Properties=species:S:1:pos:R:3 pbc="T T T"
Zr 0.000 0.000 0.000
Zr 2.921 2.921 0.000
Zr 2.921 0.000 2.921
Zr 0.000 2.921 2.921
Pt 1.461 1.461 1.461
Pt 10.224 10.224 10.224
```

[4]
This record from OQMD via LeMat-Bulk describes a geometry-optimized LiZnNiMo structure. The functional is PBE.

Output
Distance to the lowest polymorph of the same formula   0.00 eV per formula unit
Total energy   -4.75 eV/atom
Volume   12.7 A^3/atom

extended XYZ file:
```
4
Lattice="0.000 2.939 2.939 2.939 0.000 2.939 2.939 2.939 0.000" Properties=species:S:1:pos:R:3 pbc="T T T"
Li 0.000 0.000 0.000
Zn 1.469 1.469 1.469
Ni 2.939 2.939 2.939
Mo 4.408 4.408 4.408
```

[5]
This record from OQMD via LeMat-Bulk describes a geometry-optimized PmSm2Ag3 structure. The functional is PBE.

Output
Total energy   -4.06 eV/atom
Volume   25.4 A^3/atom
Formation energy   -0.290 eV/atom

extended XYZ file:
```
6
Lattice="3.695 0.000 0.000 0.000 3.695 0.000 0.000 0.000 11.168" Properties=species:S:1:pos:R:3 pbc="T T T"
Pm 0.000 0.000 0.000
Sm 0.000 0.000 3.731
Sm 0.000 0.000 7.438
Ag 1.848 1.848 1.888
Ag 1.848 1.848 5.584
Ag 1.848 1.848 9.280
```

[6]
This record from OQMD via LeMat-Bulk describes a geometry-optimized Ni2As2C structure. The functional is PBE.

Output
Total energy   -4.59 eV/atom
Volume   15.3 A^3/atom

extended XYZ file:
```
10
Lattice="7.673 0.000 0.000 0.000 7.673 0.000 0.000 0.000 2.602" Properties=species:S:1:pos:R:3 pbc="T T T"
Ni 0.873 2.963 0.000
Ni 2.963 6.800 0.000
Ni 4.710 0.873 0.000
Ni 6.800 4.710 0.000
As 1.376 5.213 0.000
As 2.461 1.376 0.000
As 5.213 6.297 0.000
As 6.297 2.461 0.000
C 0.000 0.000 1.301
C 3.837 3.837 1.301
```

[7]
This record from OQMD via LeMat-Bulk describes a geometry-optimized Tl2PdCl4 structure. The functional is PBE.

Output
Total energy   -3.29 eV/atom
Volume   31.1 A^3/atom

extended XYZ file:
```
7
Lattice="4.227 0.000 0.000 0.000 7.180 0.000 0.000 0.000 7.178" Properties=species:S:1:pos:R:3 pbc="T T T"
Tl 0.000 0.000 0.000
Tl 0.000 3.590 3.579
Pd 2.113 0.000 3.598
Cl 2.113 1.644 1.951
Cl 2.113 1.644 5.238
Cl 2.113 5.536 1.951
Cl 2.113 5.536 5.238
```

[8]
This record from OQMD via LeMat-Bulk describes a geometry-optimized CoNi structure. The functional is PBE.

Output
Total energy   -6.14 eV/atom
Volume   11.3 A^3/atom
Formation energy   0.195 eV/atom

extended XYZ file:
```
12
Lattice="4.582 0.000 0.000 -2.291 3.968 0.000 0.000 0.000 7.450" Properties=species:S:1:pos:R:3 pbc="T T T"
Co 0.000 1.365 1.862
Co -1.109 3.285 1.862
Co 1.182 0.683 5.587
Co 1.109 3.285 1.862
Co 3.399 0.683 5.587
Co 2.291 2.603 5.587
Ni 0.000 0.000 0.000
Ni 0.000 0.000 3.725
Ni 0.000 2.645 4.276
Ni 0.000 2.645 6.898
Ni 2.291 1.323 0.552
Ni 2.291 1.323 3.173
```

[9]
This record from OQMD via LeMat-Bulk describes a geometry-optimized BeCo2Os structure. The functional is PBE.

Output
Total energy   -7.17 eV/atom
Volume   10.7 A^3/atom

extended XYZ file:
```
4
Lattice="0.000 2.778 2.778 2.778 0.000 2.778 2.778 2.778 0.000" Properties=species:S:1:pos:R:3 pbc="T T T"
Be 0.000 0.000 0.000
Co 1.389 1.389 1.389
Co 2.778 2.778 2.778
Os 4.167 4.167 4.167
```

[10]
This record from OQMD via LeMat-Bulk describes a geometry-optimized FeAgCl4 structure. The functional is PBE.

Output
Total energy   -3.75 eV/atom
Volume   31.7 A^3/atom

extended XYZ file:
```
12
Lattice="6.071 0.000 0.000 0.000 6.076 0.000 0.000 0.000 10.303" Properties=species:S:1:pos:R:3 pbc="T T T"
Fe 0.000 0.000 0.000
Fe 3.036 0.000 5.152
Ag 0.000 0.000 5.152
Ag 0.000 3.038 0.000
Cl 1.326 1.246 9.019
Cl 1.326 4.830 1.285
Cl 1.802 1.347 3.886
Cl 1.802 4.729 6.418
Cl 4.269 1.347 6.418
Cl 4.269 4.729 3.886
Cl 4.745 1.246 1.285
Cl 4.745 4.830 9.019
```

[11]
This record from OQMD via LeMat-Bulk describes a geometry-optimized Ho4TlC2Se structure. The functional is PBE.

Output
Total energy   -6.09 eV/atom
Volume   21.5 A^3/atom

extended XYZ file:
```
8
Lattice="3.671 0.000 0.000 -1.836 3.180 0.000 0.000 0.000 14.718" Properties=species:S:1:pos:R:3 pbc="T T T"
Ho 0.000 0.000 1.994
Ho 0.000 0.000 12.723
Ho 0.000 2.120 4.655
Ho 0.000 2.120 10.063
Tl 0.000 0.000 7.359
C 1.836 1.060 3.345
C 1.836 1.060 11.373
Se 0.000 2.120 0.000
```

[12]
This record from OQMD via LeMat-Bulk describes a geometry-optimized Tb3Ni2PdPb3 structure. The functional is PBE.

Output
Total energy   -5.10 eV/atom
Volume   22.1 A^3/atom

extended XYZ file:
```
9
Lattice="7.605 0.000 0.000 -3.803 6.586 0.000 0.000 0.000 3.978" Properties=species:S:1:pos:R:3 pbc="T T T"
Tb -2.268 3.929 0.000
Tb 1.534 2.657 0.000
Tb 4.537 0.000 0.000
Ni 0.000 4.391 1.989
Ni 3.803 2.195 1.989
Pd 0.000 0.000 0.000
Pb -1.037 1.796 1.989
Pb 2.074 0.000 1.989
Pb 2.766 4.790 1.989
```

[13]
This record from OQMD via LeMat-Bulk describes a geometry-optimized Ac3Tl4Pd4 structure. The functional is PBE.

Output
Total energy   -4.44 eV/atom
Volume   25.9 A^3/atom

extended XYZ file:
```
11
Lattice="-2.185 4.203 7.761 2.185 -4.203 7.761 2.185 4.203 -7.761" Properties=species:S:1:pos:R:3 pbc="T T T"
Ac 0.000 0.000 0.000
Ac 2.185 0.000 5.848
Ac 0.000 4.203 1.913
Tl 2.185 1.643 -2.637
Tl 2.185 1.643 2.637
Tl 0.000 2.560 5.124
Tl 0.000 2.560 10.398
Pd 0.000 0.000 3.440
Pd 2.185 2.656 0.000
Pd 0.000 1.546 7.761
Pd 0.000 0.000 12.083
```

[14]
This record from OQMD via LeMat-Bulk describes a geometry-optimized Fe structure. The functional is PBE.

Output
Distance to the lowest polymorph of the same formula   1.06 eV per formula unit
Total energy   -7.25 eV/atom
Volume   12.3 A^3/atom
Formation energy   1.060 eV/atom

extended XYZ file:
```
4
Lattice="3.662 0.000 0.000 0.000 4.226 0.000 -1.819 0.000 3.192" Properties=species:S:1:pos:R:3 pbc="T T T"
Fe -0.003 1.056 0.005
Fe 1.846 3.169 3.188
Fe 0.010 1.056 2.124
Fe 1.833 3.169 1.068
```

[15]
This record from OQMD via LeMat-Bulk describes a geometry-optimized Zr2InCo2 structure. The functional is PBE.

Output
Total energy   -7.15 eV/atom
Volume   17.1 A^3/atom

extended XYZ file:
```
10
Lattice="7.215 0.000 0.000 0.000 7.215 0.000 0.000 0.000 3.292" Properties=species:S:1:pos:R:3 pbc="T T T"
Zr 1.210 2.398 0.000
Zr 2.398 6.005 0.000
Zr 4.817 1.210 0.000
Zr 6.005 4.817 0.000
In 0.000 0.000 1.646
In 3.608 3.608 1.646
Co 0.920 4.527 1.646
Co 2.688 0.920 1.646
Co 4.527 6.295 1.646
Co 6.295 2.688 1.646
```

[16]
This record from OQMD via LeMat-Bulk describes a geometry-optimized Zr2ScAl3FeCu2 structure. The functional is PBE.

Output
Total energy   -6.01 eV/atom
Volume   16.5 A^3/atom

extended XYZ file:
```
9
Lattice="4.072 0.000 0.000 0.000 5.569 3.281 0.000 -5.569 3.281" Properties=species:S:1:pos:R:3 pbc="T T T"
Zr 0.000 -3.309 3.281
Zr 0.000 3.309 3.281
Sc 0.000 0.000 4.018
Al 2.036 -1.339 2.124
Al 2.036 1.339 2.124
Al 2.036 0.000 6.346
Fe 0.000 0.000 1.332
Cu 2.036 -1.840 4.620
Cu 2.036 1.840 4.620
```

[17]
This record from OQMD via LeMat-Bulk describes a geometry-optimized ZrHCl structure. The functional is PBE.

Output
Total energy   -5.65 eV/atom
Volume   15.8 A^3/atom

extended XYZ file:
```
6
Lattice="3.424 0.000 0.000 -1.712 2.966 0.000 0.000 0.000 9.340" Properties=species:S:1:pos:R:3 pbc="T T T"
Zr 0.000 1.977 3.281
Zr 1.712 0.989 6.059
H 0.000 0.000 3.673
H 0.000 0.000 5.667
Cl 0.000 1.977 7.799
Cl 1.712 0.989 1.541
```

[18]
This record from OQMD via LeMat-Bulk describes a geometry-optimized BeTcAs structure. The functional is PBE.

Output
Distance to the lowest polymorph of the same formula   0.16 eV per formula unit
Total energy   -5.92 eV/atom
Volume   13.6 A^3/atom

extended XYZ file:
```
3
Lattice="0.000 2.735 2.735 2.735 0.000 2.735 2.735 2.735 0.000" Properties=species:S:1:pos:R:3 pbc="T T T"
Be 0.000 0.000 0.000
Tc 1.368 1.368 1.368
As 4.103 4.103 4.103
```

[19]
This record from OQMD via LeMat-Bulk describes a geometry-optimized BeCdNiSn structure. The functional is PBE.

Output
Distance to the lowest polymorph of the same formula   0.00 eV per formula unit
Total energy   -3.25 eV/atom
Volume   16.1 A^3/atom

extended XYZ file:
```
4
Lattice="0.000 3.181 3.181 3.181 0.000 3.181 3.181 3.181 0.000" Properties=species:S:1:pos:R:3 pbc="T T T"
Be 0.000 0.000 0.000
Cd 1.591 1.591 1.591
Ni 3.181 3.181 3.181
Sn 4.772 4.772 4.772
```

[20]
This record from OQMD via LeMat-Bulk describes a geometry-optimized RbZrAgSe3 structure. The functional is PBE.

Output
Total energy   -4.73 eV/atom
Volume   25.4 A^3/atom

extended XYZ file:
```
24
Lattice="7.940 0.000 0.000 0.000 4.515 0.000 0.000 0.000 16.992" Properties=species:S:1:pos:R:3 pbc="T T T"
Rb 0.929 1.129 3.094
Rb 3.041 3.386 11.590
Rb 4.899 1.129 5.402
Rb 7.011 3.386 13.898
Zr 1.941 1.129 16.235
Zr 2.029 3.386 7.739
Zr 5.911 1.129 9.253
Zr 5.999 3.386 0.757
Ag 0.227 1.129 11.324
Ag 3.743 3.386 2.828
Ag 4.197 1.129 14.164
Ag 7.713 3.386 5.668
Se 7.940 1.129 7.218
Se 0.000 3.386 9.774
Se 0.982 3.386 0.459
Se 1.522 1.129 13.674
Se 2.448 3.386 5.178
Se 2.988 1.129 8.955
Se 3.970 1.129 1.278
Se 3.970 3.386 15.714
Se 4.952 3.386 8.037
Se 5.492 1.129 11.814
Se 6.418 3.386 3.318
Se 6.958 1.129 16.533
```

[21]
This record from OQMD via LeMat-Bulk describes a geometry-optimized Hg2PdPt2 structure. The functional is PBE.

Output
Total energy   -3.32 eV/atom
Volume   19.2 A^3/atom
Formation energy   0.259 eV/atom

extended XYZ file:
```
5
Lattice="-1.936 1.936 6.405 1.936 -1.936 6.405 1.936 1.936 -6.405" Properties=species:S:1:pos:R:3 pbc="T T T"
Hg 0.000 0.000 1.289
Hg 0.000 0.000 11.522
Pd 0.000 0.000 6.405
Pt 1.936 0.000 3.203
Pt 0.000 1.936 3.203
```

[22]
This record from OQMD via LeMat-Bulk describes a geometry-optimized LuAgIr structure. The functional is PBE.

Output
Distance to the lowest polymorph of the same formula   0.89 eV per formula unit
Total energy   -5.30 eV/atom
Volume   22.1 A^3/atom
Formation energy   0.106 eV/atom

extended XYZ file:
```
3
Lattice="0.000 3.211 3.211 3.211 0.000 3.211 3.211 3.211 0.000" Properties=species:S:1:pos:R:3 pbc="T T T"
Lu 0.000 0.000 0.000
Ag 4.817 4.817 4.817
Ir 1.606 1.606 1.606
```

[23]
This record from OQMD via LeMat-Bulk describes a geometry-optimized Hf2Sc4Ni3C3 structure. The functional is PBE.

Output
Total energy   -7.88 eV/atom
Volume   14.9 A^3/atom

extended XYZ file:
```
24
Lattice="4.882 -2.822 0.000 4.882 2.822 0.000 -3.022 0.000 12.977" Properties=species:S:1:pos:R:3 pbc="T T T"
Hf 2.538 2.345 7.818
Hf 2.693 2.345 11.647
Hf 4.050 -2.345 1.330
Hf 4.204 -2.345 5.159
Sc 2.465 0.484 1.221
Sc 2.553 0.443 5.268
Sc 0.954 -0.484 7.710
Sc 1.042 -0.443 11.756
Sc 5.700 0.443 1.220
Sc 5.789 0.484 5.267
Sc 4.189 -0.443 7.709
Sc 4.277 -0.484 11.755
Ni 0.173 0.949 9.725
Ni 4.127 0.494 3.244
Ni 1.684 -0.949 3.236
Ni 5.059 0.949 9.741
Ni 2.616 -0.494 9.733
Ni 6.570 -0.949 3.252
C 0.930 1.411 6.488
C 1.108 1.517 12.973
C 4.124 1.517 6.492
C 2.441 -1.411 0.000
C 2.619 -1.517 6.485
C 5.635 -1.517 0.003
```